Entry 1:
Entry from Alexandria via LeMat-Bulk: a relaxed BaS4O12 crystal (PBE).

Cell: 6.146 6.146 6.146 Å, 109.47 109.47 109.47°
Atoms (fractional coordinates):
Ba 0.000 0.000 0.000
S 0.000 0.000 0.500
S 0.000 0.500 0.000
S 0.500 0.000 0.000
S 0.500 0.500 0.500
O 0.093 0.302 0.791
O 0.209 0.511 0.302
O 0.209 0.907 0.698
O 0.302 0.209 0.511
O 0.302 0.791 0.093
O 0.489 0.698 0.791
O 0.511 0.302 0.209
O 0.698 0.209 0.907
O 0.698 0.791 0.489
O 0.791 0.093 0.302
O 0.791 0.489 0.698
O 0.907 0.698 0.209

Results
The space-group type is No. 204. The uncorrected formation energy is -2.7 eV/f.u. For the energy, the calculation gives -4.742 eV/atom.


Entry 2:
Entry from Alexandria via LeMat-Bulk: a relaxed BaSO4 crystal (PBE).

Cell: 5.230 5.230 5.230 Å, 60.00 60.00 60.00°
Atoms (fractional coordinates):
Ba 0.000 0.000 0.000
S 0.500 0.500 0.500
O 0.384 0.384 0.384
O 0.384 0.384 0.849
O 0.384 0.849 0.384
O 0.849 0.384 0.384

Results
The space-group type is No. 216. The uncorrected formation energy is -12.6 eV/f.u. For the energy, the calculation gives -6.422 eV/atom.


Entry 3:
Entry from Alexandria via LeMat-Bulk: a relaxed BaSO2 crystal (PBE).

Cell: 4.996 4.996 4.996 Å, 46.67 46.67 46.67°
Atoms (fractional coordinates):
Ba 0.000 0.000 0.000
S 0.500 0.500 0.500
O 0.210 0.210 0.210
O 0.790 0.790 0.790

Results
The space-group type is No. 166. The uncorrected formation energy is -3.3 eV/f.u. For the energy, the calculation gives -4.810 eV/atom.


Entry 4:
Entry from Alexandria via LeMat-Bulk: a relaxed BaS3O crystal (PBE).

Cell: 4.584 4.584 4.584 Å, 90.00 90.00 90.00°
Atoms (fractional coordinates):
Ba 0.000 0.000 0.000
S 0.000 0.500 0.500
S 0.500 0.000 0.500
S 0.500 0.500 0.000
O 0.500 0.500 0.500

Results
The space-group type is No. 221. The uncorrected formation energy is -1.3 eV/f.u. For the polymorph energy (0 for the lowest one), the calculation gives 0.0 kJ/mol of atoms. For the energy, the calculation gives -4.106 eV/atom.


Entry 5:
Entry from Alexandria via LeMat-Bulk: a relaxed Ba2SO crystal (PBE).

Cell: 6.891 6.891 6.891 Å, 115.62 115.62 97.77°
Atoms (fractional coordinates):
Ba 0.070 0.625 0.945
Ba 0.375 0.320 0.445
Ba 0.680 0.125 0.055
Ba 0.875 0.930 0.555
S 0.250 0.750 0.500
S 0.500 0.500 0.000
O 0.000 0.000 0.000
O 0.750 0.250 0.500

Results
The space-group type is No. 122. The uncorrected formation energy is -8.7 eV/f.u. For the polymorph energy (0 for the lowest one), the calculation gives 3.4 kJ/mol of atoms. For the energy, the calculation gives -5.398 eV/atom.


Entry 6:
Entry from Alexandria via LeMat-Bulk: a relaxed BaS2O8 crystal (PBE).

Cell: 6.947 6.947 10.856 Å, 110.23 110.23 60.14°
Atoms (fractional coordinates):
Ba 0.237 0.763 0.750
Ba 0.763 0.237 0.250
S 0.099 0.346 0.046
S 0.346 0.099 0.546
S 0.654 0.901 0.454
S 0.901 0.654 0.954
O 0.039 0.632 0.870
O 0.123 0.155 0.929
O 0.155 0.123 0.429
O 0.314 0.357 0.123
O 0.357 0.314 0.623
O 0.368 0.961 0.630
O 0.403 0.531 0.464
O 0.469 0.597 0.036
O 0.531 0.403 0.964
O 0.597 0.469 0.536
O 0.632 0.039 0.370
O 0.643 0.686 0.377
O 0.686 0.643 0.877
O 0.845 0.877 0.571
O 0.877 0.845 0.071
O 0.961 0.368 0.130

Results
The space-group type is No. 15. The uncorrected formation energy is -15.8 eV/f.u. For the polymorph energy (0 for the lowest one), the calculation gives 5.1 kJ/mol of atoms. For the energy, the calculation gives -5.965 eV/atom.


Entry 7:
Entry from Alexandria via LeMat-Bulk: a relaxed BaSO4 crystal (PBE).

Cell: 9.018 5.557 7.272 Å, 90.00 90.00 90.00°
Atoms (fractional coordinates):
Ba 0.186 0.250 0.156
Ba 0.314 0.750 0.656
Ba 0.686 0.250 0.344
Ba 0.814 0.750 0.844
S 0.061 0.250 0.690
S 0.439 0.750 0.190
S 0.561 0.250 0.810
S 0.939 0.750 0.310
O 0.080 0.031 0.810
O 0.080 0.469 0.810
O 0.090 0.750 0.390
O 0.179 0.250 0.548
O 0.321 0.750 0.048
O 0.410 0.250 0.890
O 0.420 0.531 0.310
O 0.420 0.969 0.310
O 0.580 0.031 0.690
O 0.580 0.469 0.690
O 0.590 0.750 0.110
O 0.679 0.250 0.952
O 0.821 0.750 0.452
O 0.910 0.250 0.610
O 0.920 0.531 0.190
O 0.920 0.969 0.190

Results
The space-group type is No. 62. The uncorrected formation energy is -13.4 eV/f.u. For the energy, the calculation gives -6.553 eV/atom.


Entry 8:
Entry from Alexandria via LeMat-Bulk: a relaxed Ba2SO2 crystal (PBE).

Cell: 5.415 5.415 5.415 Å, 122.13 122.13 86.35°
Atoms (fractional coordinates):
Ba 0.250 0.750 0.500
Ba 0.750 0.250 0.500
S 0.000 0.000 0.000
O 0.403 0.403 0.000
O 0.597 0.597 0.000

Results
The space-group type is No. 139. The uncorrected formation energy is -8.7 eV/f.u. For the energy, the calculation gives -5.310 eV/atom.


Entry 9:
Entry from Alexandria via LeMat-Bulk: a relaxed BaS3O crystal (PBE).

Cell: 6.151 6.151 6.151 Å, 90.00 90.00 90.00°
Atoms (fractional coordinates):
Ba 0.000 0.000 0.000
S 0.000 0.000 0.500
S 0.000 0.500 0.000
S 0.500 0.000 0.000
O 0.500 0.500 0.500

Results
The space-group type is No. 221. The uncorrected formation energy is 4.6 eV/f.u. For the polymorph energy (0 for the lowest one), the calculation gives 113.1 kJ/mol of atoms. For the energy, the calculation gives -2.934 eV/atom.


Entry 10:
Entry from Alexandria via LeMat-Bulk: a relaxed BaSO2 crystal (PBE).

Cell: 7.294 7.294 7.294 Å, 141.11 141.11 56.17°
Atoms (fractional coordinates):
Ba 0.000 0.000 0.000
Ba 0.750 0.250 0.500
S 0.250 0.750 0.500
S 0.500 0.500 0.000
O 0.233 0.625 0.108
O 0.375 0.483 0.608
O 0.517 0.125 0.892
O 0.875 0.767 0.392

Results
The space-group type is No. 122. The uncorrected formation energy is -3.7 eV/f.u. For the energy, the calculation gives -4.915 eV/atom.


Entry 11:
Entry from Alexandria via LeMat-Bulk: a relaxed Ba2SO crystal (PBE).

Cell: 7.783 7.783 7.783 Å, 30.70 30.70 30.70°
Atoms (fractional coordinates):
Ba 0.000 0.000 0.000
Ba 0.151 0.151 0.151
S 0.575 0.575 0.575
O 0.407 0.407 0.407

Results
The space-group type is No. 160. The uncorrected formation energy is -8.3 eV/f.u. For the polymorph energy (0 for the lowest one), the calculation gives 11.0 kJ/mol of atoms. For the energy, the calculation gives -5.319 eV/atom.


Entry 12:
Entry from Alexandria via LeMat-Bulk: a relaxed BaSO2 crystal (PBE).

Cell: 6.233 6.233 6.233 Å, 40.07 40.07 40.07°
Atoms (fractional coordinates):
Ba 0.000 0.000 0.000
S 0.500 0.500 0.500
O 0.399 0.399 0.399
O 0.601 0.601 0.601

Results
The space-group type is No. 166. The uncorrected formation energy is -5.6 eV/f.u. For the energy, the calculation gives -5.382 eV/atom.